[1]
The following is a DFT calculation (PBE) of a geometry-optimized Na3TbPm2S6 structure.

Results
For the formation energy without anion corrections, the calculation gives -1820 meV/atom. As for the energy: -5.391 eV/atom.

Lattice parameters (Å, degrees): 7.0484 12.2068 7.0896 90.00 109.36 90.00
Space group C2/m (No. 12)
Inequivalent atoms, fractional coordinates:
Na  0.0000  0.0000  0.0000 x2
Na  0.0000  0.3334  0.0000 x4
Tb  0.0000  0.5000  0.5000 x2
Pm  0.0000  0.1666  0.5000 x4
S  0.2408  0.3360  0.7307 x8
S  0.2489  0.0000  0.7299 x4

=====

[2]
The following is a DFT calculation (PBE) of a geometry-optimized HfCr2Os structure.

Results
For the formation energy, the calculation gives 12.3 meV/atom. As for the energy: -10.095 eV/atom.

Lattice parameters (Å, degrees): 6.1173 6.1173 6.1173 90.00 90.00 90.00
Space group Fm-3m (No. 225)
Inequivalent atoms, fractional coordinates:
Hf  0.0000  0.0000  0.0000 x4
Cr  0.2500  0.2500  0.2500 x8
Os  0.0000  0.0000  0.5000 x4

=====

[3]
The following is a DFT calculation (PBE) of a geometry-optimized Nd2SmNi structure.

Results
For the formation energy, the calculation gives 118.2 meV/atom. As for the energy: -4.891 eV/atom.

Lattice parameters (Å, degrees): 3.6902 3.6902 31.7281 90.00 90.00 120.00
Space group R-3m (No. 166, hexagonal axes)
Inequivalent atoms, fractional coordinates:
Nd  0.0000  0.0000  0.1109 x6
Sm  0.0000  0.0000  0.0000 x3
Ni  0.0000  0.0000  0.5000 x3

=====

[4]
The following is a DFT calculation (PBE) of a geometry-optimized TlTc2Ru structure.

Results
For the formation energy, the calculation gives 753.1 meV/atom. As for the energy: -7.340 eV/atom.

Lattice parameters (Å, degrees): 2.9259 4.8650 9.3880 90.00 90.00 90.00
Space group Cmmm (No. 65)
Inequivalent atoms, fractional coordinates:
Tl  0.0000  0.0000  0.0000 x2
Tc  0.0000  0.5000  0.2700 x4
Ru  0.0000  0.0000  0.5000 x2

=====

[5]
The following is a DFT calculation (PBE) of a geometry-optimized LaNb2As structure.

Results
For the formation energy, the calculation gives 127.0 meV/atom. As for the energy: -7.302 eV/atom.

Lattice parameters (Å, degrees): 8.0828 8.0828 5.7386 90.00 90.00 90.00
Space group I-42d (No. 122)
Inequivalent atoms, fractional coordinates:
La  0.0000  0.0000  0.0000 x4
Nb  0.1731  0.2500  0.6250 x8
As  0.0000  0.0000  0.5000 x4

=====

[6]
The following is a DFT calculation (PBE) of a geometry-optimized LaPr2ReN4 structure.

Results
For the formation energy without anion corrections, the calculation gives -858 meV/atom. As for the energy: -8.387 eV/atom.

Lattice parameters (Å, degrees): 3.5788 12.2495 12.2239 90.00 90.00 90.00
Space group Cmcm (No. 63)
Inequivalent atoms, fractional coordinates:
La  0.0000  0.1168  0.2500 x4
Pr  0.0000  0.3680  0.0396 x8
Re  0.0000  0.1524  0.7500 x4
N  0.0000  0.0000  0.0000 x4
N  0.0000  0.2691  0.6370 x8
N  0.0000  0.4203  0.2500 x4